VASP calculation (PBE) on a relaxed structure of SrMn2Ir2.

Output
Magnetization: 0.00 μB per formula unit
Energy of formation: 0.59 eV/f.u.
Mass density: 10.764 g/cm³

abc: 4.2738 4.2738 9.8302
angles: 90.00 90.00 90.00
Last column: nearest neighbours and their distance in Å.
Space group I4/mmm (No. 139)
Inequivalent atoms, fractional coordinates:
Sr1 0.0000 0.0000 0.0000 x2  8 Mn 3.26, 10 Ir 3.31-3.55
Mn1 0.0000 0.5000 0.2500 x4  4 Ir 2.40
Ir1 0.0000 0.0000 0.3615 x4  4 Mn 2.40

VASP calculation (PBE) on a relaxed structure of Na2AgSb.

Output
Magnetization: 0.00 μB per formula unit
Raw formation energy: -0.361 eV per atom
Mass density: 4.267 g/cm³

abc: 9.3202 7.8892 5.8345
angles: 90.00 90.00 90.00
Last column: nearest neighbours and their distance in Å.
Space group Cmcm (No. 63)
Inequivalent atoms, fractional coordinates:
Na1 0.1783 0.1525 0.2500 x8  4 Sb 3.20-3.38, 3 Na 3.32-3.56, 4 Ag 3.52-3.54
Ag1 0.0000 0.5000 0.0000 x4  2 Sb 2.73, 2 Ag 2.92
Sb1 0.0000 0.2070 0.7500 x4  2 Ag 2.73

VASP calculation (PBE) on a relaxed structure of TiNb3.

Output
Magnetization: 0.31 μB per formula unit
Energy of formation: 0.56 eV/f.u.
Mass density: 7.410 g/cm³

abc: 2.7109 9.8078 5.5054
angles: 90.00 90.00 90.00
Last column: nearest neighbours and their distance in Å.
Space group Imm2 (No. 44)
Inequivalent atoms, fractional coordinates:
Ti1 0.0000 0.0000 0.0000 x2  2 Ti 2.71, 2 Nb 2.86
Nb1 0.0000 0.2498 0.7318 x4  3 Nb 2.71-2.85, 1 Ti 2.86
Nb2 0.0000 0.5000 0.9940 x2  4 Nb 2.71-2.85